[1]
Here is a geometry-optimized Cs2CdGaI structure from Alexandria. Energies are from PBE.

The energy comes out at -1.80 eV/atom. For the formation energy (no corrections), the calculation gives -364 meV/atom. The density of states at the Fermi level is 0.666 states/eV/atom.

The space group is P4/mmm (No. 123) and the conventional cell measures 7.363, 7.363 and 4.977 Å, with angles of 90.00, 90.00 and 90.00 degrees. The asymmetric unit holds Cs at (0.000, 0.500, 0.000), Cd at (0.000, 0.000, 0.000), Ga at (0.000, 0.000, 0.500) and I at (0.500, 0.500, 0.500).

[2]
Here is a geometry-optimized K2RbHgAu structure from Alexandria. Energies are from PBE.

The energy comes out at -1.42 eV/atom. Its excess energy over the best structure of this formula in the dataset is 1.81 kcal/mol of atoms. The density of states at the Fermi level is 0.571 states/eV/atom.

The space group is P4/mmm (No. 123) and the conventional cell measures 6.572, 6.572 and 5.488 Å, with angles of 90.00, 90.00 and 90.00 degrees. The asymmetric unit holds K at (0.000, 0.500, 0.000), Rb at (0.000, 0.000, 0.500), Hg at (0.500, 0.500, 0.000) and Au at (0.500, 0.500, 0.500).

[3]
Here is a geometry-optimized Tb2CeSm6Dy3 structure from Alexandria. Energies are from PBE.

The energy comes out at -4.74 eV/atom. The density of states at the Fermi level is 1.675 states/eV/atom.

The space group is C2/m (No. 12) and the conventional cell measures 6.223, 10.782 and 11.886 Å, with angles of 90.00, 100.08 and 90.00 degrees. The asymmetric unit holds Tb at (0.000, 0.166, 0.000), Ce at (0.000, 0.500, 0.000), Sm at (0.248, 0.500, 0.750), Sm at (0.249, 0.334, 0.250), Dy at (0.000, 0.000, 0.500) and Dy at (0.000, 0.333, 0.500).

[4]
Here is a geometry-optimized Tb7PrNd2 structure from Alexandria. Energies are from PBE.

The energy comes out at -4.51 eV/atom. Its excess energy over the best structure of this formula in the dataset is 3.38 kcal/mol of atoms. The density of states at the Fermi level is 1.732 states/eV/atom.

The space group is Cmmm (No. 65) and the conventional cell measures 6.592, 29.138 and 3.513 Å, with angles of 90.00, 90.00 and 90.00 degrees. The asymmetric unit holds Tb at (0.000, 0.000, 0.000), Tb at (0.000, 0.314, 0.500), Tb at (0.248, 0.401, 0.000), Pr at (0.000, 0.500, 0.500) and Nd at (0.000, 0.206, 0.000).

[5]
Here is a geometry-optimized CrAs2PSe structure from Alexandria. Energies are from PBE.

The energy comes out at -4.80 eV/atom. Its excess energy over the best structure of this formula in the dataset is 2.62 kcal/mol of atoms. For the formation energy (no corrections), the calculation gives 759 meV/atom. The density of states at the Fermi level is 0.492 states/eV/atom.

The space group is P4/mmm (No. 123) and the conventional cell measures 4.699, 4.699 and 4.915 Å, with angles of 90.00, 90.00 and 90.00 degrees. The asymmetric unit holds Cr at (0.000, 0.000, 0.000), As at (0.000, 0.500, 0.500), P at (0.500, 0.500, 0.500) and Se at (0.500, 0.500, 0.000).

[6]
Here is a geometry-optimized Ac8Ni2Ir3 structure from Alexandria. Energies are from PBE.

The energy comes out at -5.92 eV/atom. The density of states at the Fermi level is 0.651 states/eV/atom.

The space group is C2/m (No. 12) and the conventional cell measures 15.017, 8.745 and 7.496 Å, with angles of 90.00, 110.64 and 90.00 degrees. The asymmetric unit holds Ac at (0.116, 0.000, 0.243), Ac at (0.123, 0.500, 0.217), Ac at (0.124, 0.236, 0.767), Ni at (0.246, 0.500, 0.981), Ir at (0.000, 0.000, 0.500) and Ir at (0.000, 0.253, 0.000).

[7]
Here is a geometry-optimized FeCo2HIr structure from Alexandria. Energies are from PBE.

The energy comes out at -6.93 eV/atom. Its excess energy over the best structure of this formula in the dataset is 0.44 kcal/mol of atoms. The density of states at the Fermi level is 1.286 states/eV/atom.

The space group is P4/mmm (No. 123) and the conventional cell measures 3.689, 3.689 and 3.763 Å, with angles of 90.00, 90.00 and 90.00 degrees. The asymmetric unit holds Fe at (0.000, 0.000, 0.000), Co at (0.000, 0.500, 0.500), H at (0.500, 0.500, 0.500) and Ir at (0.500, 0.500, 0.000).

[8]
Here is a geometry-optimized Er2TmCo2 structure from Alexandria. Energies are from PBE.

The energy comes out at -5.73 eV/atom. Its excess energy over the best structure of this formula in the dataset is 0.61 kcal/mol of atoms. The density of states at the Fermi level is 0.922 states/eV/atom.

The space group is C2/m (No. 12) and the conventional cell measures 12.116, 3.809 and 10.664 Å, with angles of 90.00, 120.59 and 90.00 degrees. The asymmetric unit holds Er at (0.036, 0.000, 0.196), Er at (0.168, 0.000, 0.578), Tm at (0.212, 0.500, 0.862), Co at (0.014, 0.500, 0.396) and Co at (0.109, 0.500, 0.056).

[9]
Here is a geometry-optimized Pm3Y2HoEr6 structure from Alexandria. Energies are from PBE.

The energy comes out at -4.91 eV/atom. The density of states at the Fermi level is 1.371 states/eV/atom.

The space group is C2/m (No. 12) and the conventional cell measures 6.166, 10.672 and 11.751 Å, with angles of 90.00, 100.04 and 90.00 degrees. The asymmetric unit holds Pm at (0.000, 0.000, 0.000), Pm at (0.000, 0.333, 0.000), Y at (0.000, 0.167, 0.500), Ho at (0.000, 0.500, 0.500), Er at (0.249, 0.334, 0.748) and Er at (0.250, 0.000, 0.748).

[10]
Here is a geometry-optimized MnMo2Ru structure from Alexandria. Energies are from PBE.

The energy comes out at -9.74 eV/atom. Its excess energy over the best structure of this formula in the dataset is 5.00 kcal/mol of atoms. The density of states at the Fermi level is 2.429 states/eV/atom.

The space group is Fm-3m (No. 225) and the conventional cell measures 6.120, 6.120 and 6.120 Å, with angles of 90.00, 90.00 and 90.00 degrees. The asymmetric unit holds Mn at (0.000, 0.000, 0.000), Mo at (0.250, 0.250, 0.250) and Ru at (0.000, 0.000, 0.500).

[11]
Here is a geometry-optimized LaInSb structure from Alexandria. Energies are from PBE.

The energy comes out at -4.15 eV/atom. Its excess energy over the best structure of this formula in the dataset is 8.52 kcal/mol of atoms. For the formation energy (no corrections), the calculation gives -218 meV/atom. The density of states at the Fermi level is 1.067 states/eV/atom.

The space group is P3m1 (No. 156) and the conventional cell measures 3.6184, 3.6184 and 7.9043 Å, with angles of 90.00, 90.00 and 120.00 degrees. The asymmetric unit holds La at (0.0000, 0.0000, 0.0000), In at (0.3333, 0.6667, 0.6414) and Sb at (0.6667, 0.3333, 0.3388).

[12]
Here is a geometry-optimized Pm3Sm4Sc structure from Alexandria. Energies are from PBE.

The energy comes out at -4.89 eV/atom. Its excess energy over the best structure of this formula in the dataset is 0.00 kcal/mol of atoms. The density of states at the Fermi level is 1.761 states/eV/atom.

The space group is Pmn2_1 (No. 31) and the conventional cell measures 11.538, 7.295 and 6.296 Å, with angles of 90.00, 90.00 and 90.00 degrees. The asymmetric unit holds Pm at (0.000, 0.124, 0.000), Pm at (0.249, 0.121, 0.331), Sm at (0.000, 0.373, 0.506), Sm at (0.000, 0.627, 0.996), Sm at (0.244, 0.628, 0.339) and Sc at (0.000, 0.876, 0.498).

[13]
Here is a geometry-optimized Sr6In2H structure from Alexandria. Energies are from PBE.

The energy comes out at -2.39 eV/atom. The density of states at the Fermi level is 0.721 states/eV/atom.

The space group is P2_1/c (No. 14) and the conventional cell measures 7.302, 8.901 and 12.798 Å, with angles of 90.00, 123.44 and 90.00 degrees. The asymmetric unit holds Sr at (0.118, 0.166, 0.445), Sr at (0.286, 0.684, 0.442), Sr at (0.357, 0.027, 0.251), In at (0.204, 0.113, 0.750) and H at (0.500, 0.000, 0.500).

[14]
Here is a geometry-optimized Li5Cd6Ga2 structure from Alexandria. Energies are from PBE.

The energy comes out at -1.78 eV/atom. The density of states at the Fermi level is 0.376 states/eV/atom.

The space group is Pbam (No. 55) and the conventional cell measures 9.065, 18.360 and 3.022 Å, with angles of 90.00, 90.00 and 90.00 degrees. The asymmetric unit holds Li at (0.000, 0.000, 0.000), Li at (0.093, 0.253, 0.000), Li at (0.167, 0.513, 0.000), Cd at (0.039, 0.391, 0.500), Cd at (0.139, 0.115, 0.500), Cd at (0.165, 0.866, 0.000) and Ga at (0.157, 0.727, 0.500).

[15]
Here is a geometry-optimized PmSmIn structure from Alexandria. Energies are from PBE.

The energy comes out at -4.28 eV/atom. Its excess energy over the best structure of this formula in the dataset is 3.00 kcal/mol of atoms. The density of states at the Fermi level is 0.955 states/eV/atom.

The space group is I4/mmm (No. 139) and the conventional cell measures 3.535, 3.535 and 30.259 Å, with angles of 90.00, 90.00 and 90.00 degrees. The asymmetric unit holds Pm at (0.000, 0.000, 0.060), Sm at (0.000, 0.000, 0.204) and In at (0.000, 0.000, 0.370).

[16]
Here is a geometry-optimized CaTi2VOs structure from Alexandria. Energies are from PBE.

The energy comes out at -6.37 eV/atom. The density of states at the Fermi level is 1.054 states/eV/atom.

The space group is P4/mmm (No. 123) and the conventional cell measures 4.436, 4.436 and 4.873 Å, with angles of 90.00, 90.00 and 90.00 degrees. The asymmetric unit holds Ca at (0.000, 0.000, 0.000), Ti at (0.000, 0.500, 0.500), V at (0.000, 0.000, 0.500) and Os at (0.500, 0.500, 0.000).

[17]
Here is a geometry-optimized Mn6Co3Os structure from Alexandria. Energies are from PBE.

The energy comes out at -8.47 eV/atom. The density of states at the Fermi level is 1.371 states/eV/atom.

The space group is P2_1/c (No. 14) and the conventional cell measures 6.051, 5.970 and 8.523 Å, with angles of 90.00, 127.95 and 90.00 degrees. The asymmetric unit holds Mn at (0.021, 0.152, 0.301), Mn at (0.303, 0.208, 0.696), Mn at (0.385, 0.603, 0.846), Co at (0.000, 0.000, 0.000), Co at (0.219, 0.660, 0.039) and Os at (0.500, 0.000, 0.000).

[18]
Here is a geometry-optimized CaTmGeN3 structure from Alexandria. Energies are from PBE.

The energy comes out at -6.78 eV/atom. For the formation energy (no corrections), the calculation gives -765 meV/atom.

The space group is P2_1/m (No. 11) and the conventional cell measures 6.699, 3.282 and 9.164 Å, with angles of 90.00, 93.93 and 90.00 degrees. The asymmetric unit holds Ca at (0.177, 0.250, 0.215), Tm at (0.362, 0.750, 0.879), Ge at (0.122, 0.250, 0.594), N at (0.127, 0.250, 0.790), N at (0.165, 0.750, 0.487) and N at (0.392, 0.750, 0.120).

[19]
Here is a geometry-optimized Ce4Cu2Au5 structure from Alexandria. Energies are from PBE.

The energy comes out at -4.90 eV/atom. The density of states at the Fermi level is 2.453 states/eV/atom.

The space group is P2/m (No. 10) and the conventional cell measures 7.558, 3.782 and 8.902 Å, with angles of 90.00, 90.88 and 90.00 degrees. The asymmetric unit holds Ce at (0.216, 0.000, 0.139), Ce at (0.257, 0.000, 0.615), Cu at (0.065, 0.500, 0.377), Au at (0.128, 0.500, 0.872), Au at (0.413, 0.500, 0.355) and Au at (0.500, 0.500, 0.000).

[20]
Here is a geometry-optimized YC3 structure from Alexandria. Energies are from PBE.

The energy comes out at -7.43 eV/atom. Its excess energy over the best structure of this formula in the dataset is 19.36 kcal/mol of atoms. The density of states at the Fermi level is 0.307 states/eV/atom.

The space group is Pmmm (No. 47) and the conventional cell measures 2.866, 3.711 and 3.940 Å, with angles of 90.00, 90.00 and 90.00 degrees. The asymmetric unit holds Y at (0.000, 0.000, 0.000), C at (0.000, 0.500, 0.500) and C at (0.500, 0.185, 0.500).

[21]
Here is a geometry-optimized Tb5NdDy6 structure from Alexandria. Energies are from PBE.

The energy comes out at -4.61 eV/atom. The density of states at the Fermi level is 1.251 states/eV/atom.

The space group is C2/m (No. 12) and the conventional cell measures 6.168, 10.675 and 11.796 Å, with angles of 90.00, 99.98 and 90.00 degrees. The asymmetric unit holds Tb at (0.000, 0.000, 0.000), Tb at (0.000, 0.167, 0.500), Tb at (0.000, 0.333, 0.000), Nd at (0.000, 0.500, 0.500), Dy at (0.249, 0.000, 0.751) and Dy at (0.250, 0.167, 0.249).

[22]
Here is a geometry-optimized In2TcW structure from Alexandria. Energies are from PBE.

The energy comes out at -6.60 eV/atom. Its excess energy over the best structure of this formula in the dataset is 9.88 kcal/mol of atoms. The density of states at the Fermi level is 0.828 states/eV/atom.

The space group is Immm (No. 71) and the conventional cell measures 3.185, 4.843 and 9.413 Å, with angles of 90.00, 90.00 and 90.00 degrees. The asymmetric unit holds In at (0.000, 0.000, 0.243), Tc at (0.000, 0.500, 0.500) and W at (0.000, 0.500, 0.000).

[23]
Here is a geometry-optimized Pb4W structure from Alexandria. Energies are from PBE.

The energy comes out at -4.86 eV/atom. Its excess energy over the best structure of this formula in the dataset is 0.06 kcal/mol of atoms. The density of states at the Fermi level is 0.857 states/eV/atom.

The space group is Pm-3m (No. 221) and the conventional cell measures 5.457, 5.457 and 5.457 Å, with angles of 90.00, 90.00 and 90.00 degrees. The asymmetric unit holds Pb at (0.000, 0.000, 0.000), Pb at (0.000, 0.500, 0.500) and W at (0.500, 0.500, 0.500).